DFT (GGA-PBE) results for crystalline Pr2CoAuC at its relaxed geometry.

As for the crystal system: tetragonal. For the total energy, the calculation gives -6.2505 eV per atom.

The space group is P4/mmm (No. 123) and the conventional cell measures 5.306, 5.306 and 3.659 Å, with angles of 90.00, 90.00 and 90.00 degrees. The asymmetric unit holds Pr at (0.000, 0.500, 0.000), Co at (0.000, 0.000, 0.500), Au at (0.500, 0.500, 0.500) and C at (0.000, 0.000, 0.000).